Computed, not measured: a relaxed structure of LiNbPd2 at the PBE level of DFT.

abc: 4.984 2.882 8.883
angles: 90.00 100.68 90.00
Space group Cm (No. 8)
Asymmetric unit:
Li 0.000 0.000 0.000 x2
Nb 0.334 0.500 0.499 x2
Pd 0.254 0.000 0.759 x2
Pd 0.413 0.000 0.239 x2

ΔH_f (0 K) (meV per atom): -266
N(E_F) (states/eV/cell): 4.74
E_tot (eV per atom): -5.8578